FeNi2As after structural relaxation. Source: Alexandria via LeMat-Bulk, functional PBE.

Space group: I-42d, No. 122
Electronic total energy in eV/atom: -5.987

abc: 3.564 3.564 8.709
angles: 78.19 78.19 90.00
Atoms (fractional coordinates):
1 Ni 0.375 0.370 0.750
2 Ni 0.120 0.625 0.250
3 Ni 0.875 0.880 0.750
4 Ni 0.630 0.125 0.250
5 Fe 0.500 0.500 0.000
6 Fe 0.250 0.750 0.500
7 As 0.750 0.250 0.500
8 As 0.000 0.000 0.000

=====

LaLuTe2 after structural relaxation. Source: Alexandria via LeMat-Bulk, functional PBE.

Formation energy without anion corrections in eV per atom: -1.221
Space group: P4/mmm, No. 123
Polymorph energy (0 for the lowest one) in meV/atom: 140

abc: 3.869 5.400 5.400
angles: 90.00 90.00 90.00
Atoms (fractional coordinates):
1 Te 0.000 0.500 0.000
2 Te 0.000 0.000 0.500
3 La 0.500 0.500 0.500
4 Lu 0.500 0.000 0.000

=====

Li8Hg3Sb4 after structural relaxation. Source: Alexandria via LeMat-Bulk, functional PBE.

Formation energy without anion corrections in eV per atom: -0.441
Space group: Fmmm, No. 69

abc: 9.599 9.329 9.654
angles: 60.73 57.96 61.31
Atoms (fractional coordinates):
1 Li 0.362 0.920 0.361
2 Li 0.639 0.642 0.638
3 Li 0.920 0.362 0.358
4 Li 0.080 0.638 0.642
5 Li 0.380 0.870 0.878
6 Li 0.129 0.122 0.130
7 Li 0.122 0.129 0.620
8 Li 0.871 0.878 0.870
9 Li 0.642 0.639 0.080
10 Li 0.878 0.871 0.380
11 Li 0.620 0.130 0.122
12 Li 0.361 0.358 0.362
13 Li 0.130 0.620 0.129
14 Li 0.638 0.080 0.639
15 Li 0.870 0.380 0.871
16 Li 0.358 0.361 0.920
17 Sb 0.500 0.500 0.500
18 Sb 0.000 0.500 0.500
19 Sb 0.500 0.000 0.000
20 Sb 0.500 0.500 0.000
21 Sb 0.000 0.500 0.000
22 Sb 0.000 0.000 0.000
23 Sb 0.500 0.000 0.500
24 Sb 0.000 0.000 0.500
25 Hg 0.259 0.741 0.741
26 Hg 0.272 0.728 0.272
27 Hg 0.744 0.744 0.256
28 Hg 0.728 0.272 0.728
29 Hg 0.741 0.259 0.259
30 Hg 0.256 0.256 0.744

=====

TaCrIn2 after structural relaxation. Source: Alexandria via LeMat-Bulk, functional PBE.

Space group: Fm-3m, No. 225
Polymorph energy (0 for the lowest one) in meV/atom: 227

abc: 4.773 4.773 4.773
angles: 60.00 60.00 60.00
Atoms (fractional coordinates):
1 In 0.750 0.750 0.750
2 In 0.250 0.250 0.250
3 Cr 0.000 0.000 0.000
4 Ta 0.500 0.500 0.500

=====

Li6Ge2Rh after structural relaxation. Source: Alexandria via LeMat-Bulk, functional PBE.

Space group: C2/m, No. 12
Electronic total energy in eV/atom: -3.366

abc: 4.733 6.592 6.592
angles: 42.68 86.72 86.72
Atoms (fractional coordinates):
1 Li 0.388 0.351 0.846
2 Li 0.877 0.206 0.206
3 Li 0.388 0.846 0.351
4 Li 0.612 0.649 0.154
5 Li 0.612 0.154 0.649
6 Li 0.123 0.794 0.794
7 Ge 0.875 0.599 0.599
8 Ge 0.125 0.401 0.401
9 Rh 0.000 0.000 0.000

=====

Cs2NaVSn after structural relaxation. Source: Alexandria via LeMat-Bulk, functional PBE.

Space group: P4/mmm, No. 123
Electronic total energy in eV/atom: -2.302

abc: 7.227 7.227 6.060
angles: 90.00 90.00 90.00
Atoms (fractional coordinates):
1 V 0.500 0.500 0.500
2 Sn 0.000 0.000 0.000
3 Cs 0.000 0.500 0.000
4 Cs 0.500 0.000 0.000
5 Na 0.000 0.000 0.500

=====

Tb4Fe3C5 after structural relaxation. Source: Alexandria via LeMat-Bulk, functional PBE.

Space group: C2/m, No. 12
Electronic total energy in eV/atom: -7.726

abc: 3.744 5.920 9.031
angles: 75.75 78.04 71.57
Atoms (fractional coordinates):
1 C 0.314 0.260 0.112
2 C 0.397 0.022 0.183
3 C 0.686 0.740 0.888
4 C 0.603 0.978 0.817
5 C 0.500 0.500 0.500
6 Fe 0.000 0.500 0.500
7 Fe 0.543 0.248 0.666
8 Fe 0.457 0.752 0.334
9 Tb 0.745 0.178 0.332
10 Tb 0.255 0.822 0.668
11 Tb 0.105 0.689 0.102
12 Tb 0.895 0.311 0.898

=====

KTiSeS2 after structural relaxation. Source: Alexandria via LeMat-Bulk, functional PBE.

Formation energy without anion corrections in eV per atom: -0.343
Space group: P4/mmm, No. 123
Polymorph energy (0 for the lowest one) in meV/atom: 0

abc: 4.615 10.175 4.615
angles: 90.00 90.00 90.00
Atoms (fractional coordinates):
1 Se 0.500 0.500 0.500
2 S 0.000 0.000 0.500
3 S 0.500 0.000 0.000
4 K 0.000 0.500 0.000
5 Ti 0.000 0.000 0.000

=====

TlSn2Pt2 after structural relaxation. Source: Alexandria via LeMat-Bulk, functional PBE.

Space group: I4/mmm, No. 139
Electronic total energy in eV/atom: -4.722

abc: 4.697 4.697 6.378
angles: 68.39 68.39 90.00
Atoms (fractional coordinates):
1 Sn 0.250 0.750 0.500
2 Sn 0.750 0.250 0.500
3 Tl 0.000 0.000 0.000
4 Pt 0.376 0.376 0.249
5 Pt 0.624 0.624 0.751

=====

Ce2As4Ir3Rh after structural relaxation. Source: Alexandria via LeMat-Bulk, functional PBE.

Space group: P-4m2, No. 115
Electronic total energy in eV/atom: -7.249

abc: 4.306 4.306 9.974
angles: 90.00 90.00 90.00
Atoms (fractional coordinates):
1 Ir 0.500 0.000 0.879
2 Ir 0.000 0.500 0.121
3 Ir 0.000 0.000 0.500
4 As 0.500 0.000 0.637
5 As 0.000 0.000 0.000
6 As 0.500 0.500 0.000
7 As 0.000 0.500 0.363
8 Ce 0.000 0.500 0.753
9 Ce 0.500 0.000 0.247
10 Rh 0.500 0.500 0.500

=====

ScBe2SiPb after structural relaxation. Source: Alexandria via LeMat-Bulk, functional PBE.

Formation energy without anion corrections in eV per atom: 1.086
Space group: P4/mmm, No. 123
Polymorph energy (0 for the lowest one) in meV/atom: 788

abc: 4.403 5.869 4.403
angles: 90.00 90.00 90.00
Atoms (fractional coordinates):
1 Pb 0.000 0.000 0.000
2 Be 0.000 0.000 0.500
3 Be 0.500 0.000 0.000
4 Si 0.000 0.500 0.000
5 Sc 0.500 0.500 0.500

=====

Ac2TbIn2 after structural relaxation. Source: Alexandria via LeMat-Bulk, functional PBE.

Space group: Immm, No. 71
Electronic total energy in eV/atom: -4.010

abc: 5.051 6.587 6.587
angles: 65.10 67.46 67.46
Atoms (fractional coordinates):
1 Ac 0.198 0.302 0.302
2 Ac 0.802 0.698 0.698
3 Tb 0.000 0.000 0.000
4 In 0.500 0.719 0.281
5 In 0.500 0.281 0.719

=====

Repeat the twelfth record exactly.
Ac2TbIn2 after structural relaxation. Source: Alexandria via LeMat-Bulk, functional PBE.

Space group: Immm, No. 71
Electronic total energy in eV/atom: -4.010

abc: 5.051 6.587 6.587
angles: 65.10 67.46 67.46
Atoms (fractional coordinates):
1 Ac 0.198 0.302 0.302
2 Ac 0.802 0.698 0.698
3 Tb 0.000 0.000 0.000
4 In 0.500 0.719 0.281
5 In 0.500 0.281 0.719